# 1
Computed, not measured: ScAgAu2 at its PBEsol-relaxed geometry at the SCAN level of DFT.

Cell lengths 3.379, 3.379, 6.175 Å; angles 90.00, 90.00, 90.00 degrees
Fractional positions:
1 Sc 0.000 0.000 0.000
2 Ag 0.000 0.000 0.500
3 Au 0.500 0.500 0.251
4 Au 0.500 0.500 0.749

Computed properties:
Its space group is No. 123. The value obtained for the energy of formation from the pure elements is -0.674 eV per atom.

# 2
Computed, not measured: ScAgAu2 at its PBEsol-relaxed geometry at the SCAN level of DFT.

Cell lengths 3.481, 3.481, 5.853 Å; angles 90.00, 90.00, 90.00 degrees
Fractional positions:
1 Sc 0.000 0.000 0.000
2 Ag 0.500 0.500 0.272
3 Au 0.000 0.000 0.504
4 Au 0.500 0.500 0.765

Computed properties:
Its space group is No. 99. The value obtained for the energy of formation from the pure elements is -0.559 eV per atom.

# 3
Computed, not measured: AgAuSe2 at its PBEsol-relaxed geometry at the SCAN level of DFT.

Cell lengths 5.965, 5.965, 5.965 Å; angles 142.41, 137.54, 57.99 degrees
Fractional positions:
1 Ag 0.000 0.000 0.000
2 Au 0.500 0.500 0.000
3 Se 0.339 0.839 0.500
4 Se 0.661 0.161 0.500

Computed properties:
For the formation energy (no corrections), the calculation gives -0.044 eV per atom. Its space group is No. 71.

# 4
Computed, not measured: AgAuSe2 at its PBEsol-relaxed geometry at the SCAN level of DFT.

Cell lengths 6.808, 6.808, 6.808 Å; angles 149.86, 149.47, 43.44 degrees
Fractional positions:
1 Ag 0.000 0.000 0.000
2 Au 0.750 0.250 0.500
3 Se 0.340 0.840 0.500
4 Se 0.596 0.596 0.000

Computed properties:
For the formation energy (no corrections), the calculation gives 0.197 eV per atom. Its space group is No. 44.